# PBE+U YTaW2O8, optimized geometry
# - calculated density (Mg/m³) = 7.4
# - SG = P1, No. 1
# - N(E_F) (states/eV/cell) = 0.0
# - E above lowest polymorph (eV/atom) = 0.185
data_YTaW2O8
_cell_length_a 5.136
_cell_length_b 5.544
_cell_length_c 6.458
_cell_angle_alpha 76.45
_cell_angle_beta 85.79
_cell_angle_gamma 75.25
_symmetry_space_group_name_H-M 'P 1'
_symmetry_Int_Tables_number 1
_symmetry_space_group_name_Hall 'P 1'
loop_
_atom_site_label
_atom_site_type_symbol
_atom_site_fract_x
_atom_site_fract_y
_atom_site_fract_z
Y1 Y 0.000 0.000 0.000
Ta1 Ta 0.411 0.063 0.455
W1 W 0.124 0.578 0.587
W2 W 0.663 0.539 0.280
O1 O 0.046 0.366 0.847
O2 O 0.073 0.348 0.377
O3 O 0.207 0.877 0.690
O4 O 0.268 0.818 0.291
O5 O 0.517 0.303 0.585
O6 O 0.619 0.216 0.200
O7 O 0.718 0.770 0.021
O8 O 0.721 0.759 0.490